Record 1
DFT (GGA-PBE) results for Ga7Co3 after structural relaxation.

Unit cell a=7.310 b=7.310 c=7.310 alpha=109.47 beta=109.47 gamma=109.47
Atoms (fractional coordinates):
1 Ga 0.000 0.000 0.316
2 Ga 0.000 0.000 0.684
3 Ga 0.000 0.316 0.000
4 Ga 0.000 0.684 0.000
5 Ga 0.250 0.500 0.750
6 Ga 0.250 0.750 0.500
7 Ga 0.316 0.000 0.000
8 Ga 0.316 0.316 0.316
9 Ga 0.500 0.250 0.750
10 Ga 0.500 0.750 0.250
11 Ga 0.684 0.000 0.000
12 Ga 0.684 0.684 0.684
13 Ga 0.750 0.250 0.500
14 Ga 0.750 0.500 0.250
15 Co 0.000 0.351 0.351
16 Co 0.000 0.649 0.649
17 Co 0.351 0.000 0.351
18 Co 0.351 0.351 0.000
19 Co 0.649 0.000 0.649
20 Co 0.649 0.649 0.000

## Properties
**Size of the total moment**: 0.000 μB/cell
**ΔE_f**: -0.196 eV per atom



Record 2
DFT (GGA-PBE) results for BaTlNi2 after structural relaxation.

Unit cell a=9.503 b=9.503 c=9.503 alpha=149.56 beta=149.56 gamma=43.59
Atoms (fractional coordinates):
1 Ba 0.375 0.625 0.750
2 Ba 0.625 0.375 0.250
3 Tl 0.125 0.875 0.250
4 Tl 0.875 0.125 0.750
5 Ni 0.000 0.000 0.000
6 Ni 0.000 0.000 0.500
7 Ni 0.000 0.500 0.000
8 Ni 0.500 0.000 0.500

## Properties
**Size of the total moment**: 0.000 μB/cell
**ΔE_f**: 0.165 eV per atom